VASP calculation (PBE) on crystalline Sm4Y5Er at its relaxed geometry.

It has space group I4mm (No. 107), with a = 10.6809 Å, b = 10.6809 Å, c = 5.9610 Å, α = 90.00°, β = 90.00° and γ = 90.00°. The inequivalent atoms are Sm at (0.0000, 0.3243, 0.0000), Y at (0.0000, 0.0000, 0.2367), Y at (0.1892, 0.1892, 0.5068) and Er at (0.0000, 0.0000, 0.7637).

The calculation puts the energy above the most stable polymorph in this dataset at 6.4 kJ per mole of atoms. The value obtained for the magnetization is 0.0 μB per cell. The volume comes out at 34.0 Å³ per atom. The theoretical density is 5.92 Mg/m³. The total energy is -5.323 eV/atom. Its formation energy is 0.2530 eV/atom.

VASP calculation (PBE) on crystalline Cs2LaCdCl6 at its relaxed geometry.

It has space group Pmmn (No. 59, origin choice 2), with a = 8.0824 Å, b = 11.4350 Å, c = 8.0847 Å, α = 90.00°, β = 90.00° and γ = 90.00°. The inequivalent atoms are Cs at (0.2500, 0.0010, 0.2490), La at (0.2500, 0.2500, 0.7535), Cd at (0.2500, 0.7500, 0.7468), Cl at (0.0062, 0.2500, 0.5111), Cl at (0.0082, 0.2500, 0.9979) and Cl at (0.2500, 0.0069, 0.7537).

The value obtained for the magnetization is 1.7 μB per cell. The volume comes out at 37.4 Å³ per atom. The theoretical density is 3.24 Mg/m³. The total energy is -3.697 eV/atom.

VASP calculation (PBE) on crystalline ZnB3As at its relaxed geometry.

It has space group Pm-3m (No. 221), with a = 4.1397 Å, b = 4.1397 Å, c = 4.1397 Å, α = 90.00°, β = 90.00° and γ = 90.00°. The inequivalent atoms are Zn at (0.0000, 0.0000, 0.0000), B at (0.0000, 0.5000, 0.5000) and As at (0.5000, 0.5000, 0.5000).

The calculation puts the energy above the most stable polymorph in this dataset at 0.0 kJ per mole of atoms. The value obtained for the magnetization is 0.0 μB per cell. The volume comes out at 14.2 Å³ per atom. The theoretical density is 4.04 Mg/m³. The total energy is -3.336 eV/atom. Its formation energy is 1.8552 eV/atom.